This record from Alexandria describes a geometry-optimized NpMnNiO6 structure. The functional is PBE with a Hubbard U.

Cell: 5.192 5.192 9.066 Å, 90.00 90.00 120.00°
Fractional coordinates of all 18 atoms:
Np  0.333  0.667  0.250
Np  0.667  0.333  0.750
Mn  0.000  0.000  0.000
Mn  0.000  0.000  0.500
Ni  0.333  0.667  0.750
Ni  0.667  0.333  0.250
O  0.006  0.337  0.129
O  0.006  0.668  0.371
O  0.332  0.337  0.371
O  0.332  0.994  0.129
O  0.337  0.006  0.629
O  0.337  0.332  0.871
O  0.663  0.668  0.129
O  0.663  0.994  0.371
O  0.668  0.006  0.871
O  0.668  0.663  0.629
O  0.994  0.332  0.629
O  0.994  0.663  0.871

Symmetry: P-31c (163)
Raw total energy (eV for the cell shown): -138.574
DOS at the Fermi energy (states/eV/atom): 0.35